Record 1
The following is a DFT calculation (GGA-PBE) of a geometry-optimized PaAl2H6 structure.

Lattice parameters (Å, degrees): 5.140 5.140 5.140 60.00 60.00 60.00
Fractional coordinates of all 9 atoms:
Al: 0.750 0.750 0.750
Al: 0.250 0.250 0.250
H: 0.287 0.713 0.713
H: 0.713 0.713 0.287
H: 0.713 0.287 0.713
H: 0.287 0.713 0.287
H: 0.287 0.287 0.713
H: 0.713 0.287 0.287
Pa: 0.000 0.000 0.000

Symmetry: Fm-3m
Calculated volume (Å³/cell): 96.0
Energy (eV/atom): -3.608
DOS at the Fermi energy (states/eV/cell): 4.65

=====

Record 2
The following is a DFT calculation (GGA-PBE) of a geometry-optimized TiGa3Os structure.

Lattice parameters (Å, degrees): 4.719 4.719 4.719 90.00 90.00 90.00
Fractional coordinates of all 5 atoms:
Os: 0.000 0.000 0.000
Ga: 0.500 0.000 0.000
Ga: 0.000 0.000 0.500
Ga: 0.000 0.500 0.000
Ti: 0.500 0.500 0.500

Offset from the most stable computed form (eV per formula unit): 0.00
Formation energy (eV/atom): 0.486
Symmetry: Pm-3m
Calculated volume (Å³/cell): 105.1
DOS at the Fermi energy (states/eV/cell): 11.30

=====

Record 3
The following is a DFT calculation (GGA-PBE) of a geometry-optimized ScInAg2H structure.

Lattice parameters (Å, degrees): 4.631 4.631 3.891 90.00 90.00 90.00
Fractional coordinates of all 5 atoms:
In: 0.500 0.500 0.500
Ag: 0.500 0.000 0.000
Ag: 0.000 0.500 0.000
H: 0.000 0.000 0.000
Sc: 0.000 0.000 0.500

Symmetry: P4/mmm
Calculated volume (Å³/cell): 83.5
Energy (eV/atom): -3.781
DOS at the Fermi energy (states/eV/cell): 1.38

=====

Record 4
The following is a DFT calculation (GGA-PBE) of a geometry-optimized HoZrNp2N4 structure.

Lattice parameters (Å, degrees): 3.385 5.876 5.901 109.34 90.00 90.00
Each line ends with the local moment (μB).
Fractional coordinates of all 8 atoms:
N: 0.000 0.760 0.251  -0.09
N: 0.000 0.240 0.749  -0.09
N: 0.500 0.760 0.755  -0.09
N: 0.500 0.240 0.245  -0.09
Ho: 0.500 0.500 0.000  0.05
Np: 0.000 0.500 0.500  3.15
Np: 0.500 0.000 0.500  2.92
Zr: 0.000 0.000 0.000  0.01

Symmetry: P2/m
Formation energy from raw total energies (kJ per mole of atoms): -137
Calculated volume (Å³/cell): 110.7
DOS at the Fermi energy (states/eV/cell): 11.96

=====

Record 5
The following is a DFT calculation (GGA-PBE) of a geometry-optimized Te3Ir structure.

Lattice parameters (Å, degrees): 5.769 5.769 5.769 90.00 90.00 90.00
Fractional coordinates of all 8 atoms:
Te: 0.000 0.250 0.500
Te: 0.250 0.500 0.000
Te: 0.000 0.750 0.500
Te: 0.500 0.000 0.250
Te: 0.750 0.500 0.000
Te: 0.500 0.000 0.750
Ir: 0.000 0.000 0.000
Ir: 0.500 0.500 0.500

Symmetry: Pm-3n
Formation energy from raw total energies (kJ per mole of atoms): 87
Calculated volume (Å³/cell): 192.0
DOS at the Fermi energy (states/eV/cell): 9.50

=====

Record 6
The following is a DFT calculation (GGA-PBE) of a geometry-optimized Pr6NdDy2 structure.

Lattice parameters (Å, degrees): 8.348 8.348 10.615 90.00 90.00 90.00
Fractional coordinates of all 18 atoms:
Pr: 0.762 0.238 0.500
Pr: 0.261 0.261 0.334
Pr: 0.238 0.762 0.500
Pr: 0.739 0.739 0.666
Pr: 0.239 0.761 0.834
Pr: 0.262 0.262 0.000
Pr: 0.739 0.739 0.334
Pr: 0.761 0.239 0.834
Pr: 0.761 0.239 0.166
Pr: 0.738 0.738 0.000
Pr: 0.239 0.761 0.166
Pr: 0.261 0.261 0.666
Dy: 0.500 0.500 0.165
Dy: 0.000 0.000 0.335
Dy: 0.500 0.500 0.835
Dy: 0.000 0.000 0.665
Nd: 0.500 0.500 0.500
Nd: 0.000 0.000 0.000

Offset from the most stable computed form (eV per formula unit): 5.13
Formation energy (eV/atom): 0.587
Symmetry: P4_2/mnm
Calculated volume (Å³/cell): 739.8
DOS at the Fermi energy (states/eV/cell): 30.50

=====

Record 7
The following is a DFT calculation (GGA-PBE) of a geometry-optimized TbSm3Te4 structure.

Lattice parameters (Å, degrees): 4.379 7.695 7.695 108.91 90.00 90.00
Fractional coordinates of all 8 atoms:
Sm: 0.500 0.500 0.500
Sm: 0.000 0.000 0.500
Sm: 0.000 0.500 0.000
Te: 0.000 0.754 0.754
Te: 0.500 0.248 0.752
Te: 0.000 0.246 0.246
Te: 0.500 0.752 0.248
Tb: 0.500 0.000 0.000

Symmetry: Cmmm
Formation energy from raw total energies (kJ per mole of atoms): -132
Calculated volume (Å³/cell): 245.3
DOS at the Fermi energy (states/eV/cell): 5.16

=====

Record 8
The following is a DFT calculation (GGA-PBE) of a geometry-optimized UBe2SiOs2 structure.

Lattice parameters (Å, degrees): 4.133 4.133 5.209 90.00 90.00 90.00
Fractional coordinates of all 6 atoms:
Be: 0.000 0.500 0.000
Be: 0.500 0.000 0.000
Si: 0.000 0.000 0.000
Os: 0.500 0.500 0.255
Os: 0.500 0.500 0.745
U: 0.000 0.000 0.500

Symmetry: P4/mmm
Formation energy from raw total energies (kJ per mole of atoms): 38
Calculated volume (Å³/cell): 89.0
DOS at the Fermi energy (states/eV/cell): 5.39

=====

Record 9
The following is a DFT calculation (GGA-PBE) of a geometry-optimized YBeMo3 structure.

Lattice parameters (Å, degrees): 4.789 4.789 4.789 90.00 90.00 90.00
Fractional coordinates of all 5 atoms:
Mo: 0.000 0.500 0.000
Mo: 0.000 0.000 0.500
Mo: 0.500 0.000 0.000
Y: 0.000 0.000 0.000
Be: 0.500 0.500 0.500

Offset from the most stable computed form (eV per formula unit): 10.47
Formation energy (eV/atom): 2.773
Symmetry: Pm-3m
Calculated volume (Å³/cell): 109.8
DOS at the Fermi energy (states/eV/cell): 6.31

=====

Record 10
The following is a DFT calculation (GGA-PBE) of a geometry-optimized CsAl2FeCl8 structure.

Lattice parameters (Å, degrees): 6.422 6.422 10.373 71.97 71.97 60.00
Each line ends with the local moment (μB).
Fractional coordinates of all 12 atoms:
Cl: 0.265 0.967 0.154  0.01
Cl: 0.735 0.033 0.846  0.01
Cl: 0.186 0.186 0.442  0.00
Cl: 0.814 0.814 0.558  0.00
Cl: 0.615 0.265 0.154  0.01
Cl: 0.033 0.385 0.846  0.01
Cl: 0.385 0.735 0.846  0.01
Cl: 0.967 0.615 0.154  0.01
Fe: 0.000 0.000 0.000  2.80
Al: 0.261 0.261 0.218  -0.01
Al: 0.739 0.739 0.782  -0.01
Cs: 0.500 0.500 0.500  0.00

Symmetry: R-3
Formation energy from raw total energies (kJ per mole of atoms): -130
Calculated volume (Å³/cell): 346.0
DOS at the Fermi energy (states/eV/cell): 0.62

=====

Record 11
The following is a DFT calculation (GGA-PBE) of a geometry-optimized Na2Sc2Ag structure.

Lattice parameters (Å, degrees): 4.054 4.054 9.107 77.14 77.14 90.00
Fractional coordinates of all 5 atoms:
Ag: 0.000 0.000 0.000
Sc: 0.250 0.750 0.500
Sc: 0.750 0.250 0.500
Na: 0.587 0.587 0.825
Na: 0.413 0.413 0.175

Offset from the most stable computed form (eV per formula unit): 0.18
Formation energy (eV/atom): 0.494
Symmetry: I4/mmm
Calculated volume (Å³/cell): 142.1
DOS at the Fermi energy (states/eV/cell): 8.26

=====

Record 12
The following is a DFT calculation (GGA-PBE) of a geometry-optimized Pm4NdDy15 structure.

Lattice parameters (Å, degrees): 5.054 5.054 25.184 90.00 90.00 90.00
Fractional coordinates of all 20 atoms:
Pm: 0.000 0.000 0.200
Pm: 0.000 0.000 0.600
Pm: 0.000 0.000 0.800
Pm: 0.000 0.000 0.400
Dy: 0.000 0.500 0.700
Dy: 0.500 0.500 0.400
Dy: 0.500 0.000 0.700
Dy: 0.500 0.000 0.500
Dy: 0.500 0.500 0.600
Dy: 0.500 0.500 0.200
Dy: 0.500 0.000 0.900
Dy: 0.500 0.000 0.300
Dy: 0.000 0.500 0.500
Dy: 0.000 0.500 0.100
Dy: 0.500 0.000 0.100
Dy: 0.500 0.500 0.000
Dy: 0.000 0.500 0.300
Dy: 0.000 0.500 0.900
Dy: 0.500 0.500 0.800
Nd: 0.000 0.000 0.000

Formation energy (eV/atom): 0.018
Symmetry: P4/mmm
Calculated volume (Å³/cell): 643.4
DOS at the Fermi energy (states/eV/cell): 26.61

=====

Repeat the tenth record exactly.
The following is a DFT calculation (GGA-PBE) of a geometry-optimized CsAl2FeCl8 structure.

Lattice parameters (Å, degrees): 6.422 6.422 10.373 71.97 71.97 60.00
Each line ends with the local moment (μB).
Fractional coordinates of all 12 atoms:
Cl: 0.265 0.967 0.154  0.01
Cl: 0.735 0.033 0.846  0.01
Cl: 0.186 0.186 0.442  0.00
Cl: 0.814 0.814 0.558  0.00
Cl: 0.615 0.265 0.154  0.01
Cl: 0.033 0.385 0.846  0.01
Cl: 0.385 0.735 0.846  0.01
Cl: 0.967 0.615 0.154  0.01
Fe: 0.000 0.000 0.000  2.80
Al: 0.261 0.261 0.218  -0.01
Al: 0.739 0.739 0.782  -0.01
Cs: 0.500 0.500 0.500  0.00

Symmetry: R-3
Formation energy from raw total energies (kJ per mole of atoms): -130
Calculated volume (Å³/cell): 346.0
DOS at the Fermi energy (states/eV/cell): 0.62